{"formula": "Ca2NbAu", "functional": "GGA-PBE", "state": "optimized geometry", "energy_ev_per_cell": -16.2, "rho_g_cm3": 6.17, "relative_energy_mev_per_atom": 0, "cell": [[-3.775, -3.106, 1.784], [-4.720, 0.121, -2.187], [-1.640, -4.016, -2.874]], "species": ["Ca", "Ca", "Nb", "Au"], "frac_coords": [[0.250, 0.250, 0.250], [0.750, 0.750, 0.750], [0.000, 0.000, 0.000], [0.500, 0.500, 0.500]]}

---

{"formula": "Ca2NbAu", "functional": "GGA-PBE", "state": "optimized geometry", "energy_ev_per_cell": -31.2, "rho_g_cm3": 5.67, "relative_energy_mev_per_atom": 165, "cell": [[8.376, 0.000, 0.000], [0.000, 8.376, 0.000], [4.188, 4.188, 3.090]], "species": ["Nb", "Nb", "Ca", "Ca", "Ca", "Ca", "Au", "Au"], "frac_coords": [[0.250, 0.750, 0.500], [0.500, 0.500, 0.000], [0.375, 0.336, 0.750], [0.664, 0.125, 0.250], [0.086, 0.625, 0.250], [0.875, 0.914, 0.750], [0.000, 0.000, 0.000], [0.750, 0.250, 0.500]]}

---

{"formula": "CaNbAu3", "functional": "GGA-PBE", "state": "optimized geometry", "energy_ev_per_cell": -20.9, "rho_g_cm3": 8.81, "relative_energy_mev_per_atom": 0, "cell": [[5.148, 0.000, 0.000], [0.000, 5.148, 0.000], [0.000, 0.000, 5.148]], "species": ["Ca", "Au", "Au", "Au", "Nb"], "frac_coords": [[0.500, 0.500, 0.500], [0.500, 0.000, 0.000], [0.000, 0.500, 0.000], [0.000, 0.000, 0.500], [0.000, 0.000, 0.000]]}

---

{"formula": "CaNbAu2", "functional": "GGA-PBE", "state": "optimized geometry", "energy_ev_per_cell": -19.0, "rho_g_cm3": 10.67, "relative_energy_mev_per_atom": 0, "cell": [[-0.547, -0.364, 4.833], [-2.913, 3.114, 2.366], [-4.229, -1.555, 1.865]], "species": ["Au", "Au", "Ca", "Nb"], "frac_coords": [[0.750, 0.750, 0.750], [0.250, 0.250, 0.250], [0.000, 0.000, 0.000], [0.500, 0.500, 0.500]]}